Entry 1:
Be3CdBr: single point on PBEsol structure, SCAN.

a b c (Å): 4.444 4.444 4.444
angles (deg): 90.00 90.00 90.00
Space group Pm-3m (No. 221)
Symmetry-distinct sites (fractional):
1 Be 0.000 0.000 0.500 (multiplicity 3)
2 Cd 0.500 0.500 0.500 (multiplicity 1)
3 Br 0.000 0.000 0.000 (multiplicity 1)

## Properties
crystal system = cubic



Entry 2:
ZnGa2F: single point on PBEsol structure, SCAN.

a b c (Å): 6.240 6.240 6.240
angles (deg): 90.00 90.00 90.00
Space group Fm-3m (No. 225)
Symmetry-distinct sites (fractional):
1 Zn 0.000 0.000 0.000 (multiplicity 4)
2 Ga 0.250 0.250 0.250 (multiplicity 8)
3 F 0.000 0.000 0.500 (multiplicity 4)

## Properties
crystal system = cubic



Entry 3:
Be2TeMoPt: single point on PBEsol structure, SCAN.

a b c (Å): 4.384 4.384 5.054
angles (deg): 90.00 90.00 90.00
Space group P4/mmm (No. 123)
Symmetry-distinct sites (fractional):
1 Be 0.000 0.500 0.000 (multiplicity 2)
2 Te 0.000 0.000 0.000 (multiplicity 1)
3 Mo 0.500 0.500 0.500 (multiplicity 1)
4 Pt 0.000 0.000 0.500 (multiplicity 1)

## Properties
crystal system = tetragonal



no.,raw formation energy (meV per atom),M_tot (Bohr magnetons per cell)
1,1397.1,0.00
2,-423.2,0.00
3,1520.9,3.62